The following is a DFT calculation (PBE with a Hubbard U) of crystalline MgGaNi2O4 at its relaxed geometry.

abc: 5.3543 2.9646 5.3924
angles: 90.00 113.26 90.00
Last column: nearest neighbours and their distance in Å.
Fractional positions:
Mg  0.0000  0.0000  0.0000  6 O 2.11-2.26
Ga  0.0000  0.5000  0.5000  6 O 1.98-2.04
Ni  0.5000  0.0000  0.5000  6 O 2.11-2.23
Ni  0.5000  0.5000  0.0000  4 O 2.15
O  0.2193  0.5000  0.2782  1 Ga 1.98, 2 Mg 2.11, 2 Ni 2.11
O  0.2386  0.0000  0.7362  2 Ga 2.04, 3 Ni 2.15-2.23, 1 Mg 2.26
O  0.7614  0.0000  0.2638  2 Ga 2.04, 3 Ni 2.15-2.23, 1 Mg 2.26
O  0.7807  0.5000  0.7218  1 Ga 1.98, 2 Mg 2.11, 2 Ni 2.11

Output
Size of the total moment   3.0 μB per cell
Raw total energy   -5.1830 eV/atom